Record 1
! BeSnF2 (PBE-GGA, relaxed); values from VASP
&SYSTEM
  ibrav = 0, nat = 4, ntyp = 3
/
ATOMIC_SPECIES
Be 9.01 Be.upf
Sn 118.71 Sn.upf
F 19.00 F.upf
CELL_PARAMETERS angstrom
0.000 3.104 3.104
3.104 0.000 3.104
3.104 3.104 0.000
ATOMIC_POSITIONS crystal
Be 0.000 0.000 0.000
Sn 0.500 0.500 0.500
F 0.250 0.250 0.250
F 0.750 0.750 0.750
! E_form (uncorrected)	-0.739	eV per atom
! N(E_F)	0.2	states/eV/f.u.
! relative energy among the computed polymorphs	1.216	eV per atom

---

Record 2
! PmNdS2 (PBE-GGA, relaxed); values from VASP
&SYSTEM
  ibrav = 0, nat = 4, ntyp = 3
/
ATOMIC_SPECIES
Pm 145.00 Pm.upf
Nd 144.24 Nd.upf
S 32.06 S.upf
CELL_PARAMETERS angstrom
2.029 1.171 6.596
-2.029 1.171 6.596
0.000 -2.343 6.596
ATOMIC_POSITIONS crystal
Pm 0.000 0.000 0.000
Nd 0.500 0.500 0.500
S 0.251 0.251 0.251
S 0.749 0.749 0.749
! E_form (uncorrected)	-2.031	eV per atom
! N(E_F)	1.6	states/eV/f.u.
! relative energy among the computed polymorphs	0.000	eV per atom

---

Record 3
! BaV2Ru (PBE-GGA, relaxed); values from VASP
&SYSTEM
  ibrav = 0, nat = 8, ntyp = 3
/
ATOMIC_SPECIES
Ba 137.33 Ba.upf
V 50.94 V.upf
Ru 101.07 Ru.upf
CELL_PARAMETERS angstrom
-2.629 2.629 8.016
2.629 -2.629 8.016
2.629 2.629 -8.016
ATOMIC_POSITIONS crystal
Ba 0.375 0.625 0.750
Ba 0.625 0.375 0.250
V 0.000 0.000 0.000
V 0.000 0.000 0.500
V 0.000 0.500 0.000
V 0.500 0.000 0.500
Ru 0.125 0.875 0.250
Ru 0.875 0.125 0.750
! DFT formation energy	356	kJ/mol of formula units
! N(E_F)	5.4	states/eV/f.u.
! relative energy among the computed polymorphs	0.000	eV per atom

---

Record 4
! PrPuPtRh (PBE-GGA, relaxed); values from VASP
&SYSTEM
  ibrav = 0, nat = 4, ntyp = 4
/
ATOMIC_SPECIES
Pr 140.91 Pr.upf
Pu 244.00 Pu.upf
Pt 195.08 Pt.upf
Rh 102.91 Rh.upf
CELL_PARAMETERS angstrom
4.235 0.000 0.000
0.000 1.958 5.591
0.000 -1.958 5.591
ATOMIC_POSITIONS crystal
Pr 0.000 0.000 0.000
Pu 0.500 0.721 0.721
Pt 0.500 0.437 0.437
Rh 0.000 0.260 0.260
! DFT formation energy	-286	kJ/mol of formula units
! N(E_F)	11.9	states/eV/f.u.
! relative energy among the computed polymorphs	0.000	eV per atom

---

Record 5
! Sr2MgBiPt (PBE-GGA, relaxed); values from VASP
&SYSTEM
  ibrav = 0, nat = 5, ntyp = 4
/
ATOMIC_SPECIES
Sr 87.62 Sr.upf
Mg 24.30 Mg.upf
Bi 208.98 Bi.upf
Pt 195.08 Pt.upf
CELL_PARAMETERS angstrom
5.778 0.000 0.000
0.000 5.778 0.000
0.000 0.000 5.078
ATOMIC_POSITIONS crystal
Sr 0.000 0.500 0.000
Sr 0.500 0.000 0.000
Mg 0.000 0.000 0.500
Bi 0.500 0.500 0.500
Pt 0.000 0.000 0.000
! DFT formation energy	-300	kJ/mol of formula units
! N(E_F)	2.1	states/eV/f.u.

---

Record 6
! Ac2Zn3BiAu4 (PBE-GGA, relaxed); values from VASP
&SYSTEM
  ibrav = 0, nat = 10, ntyp = 4
/
ATOMIC_SPECIES
Ac 227.00 Ac.upf
Zn 65.41 Zn.upf
Bi 208.98 Bi.upf
Au 196.97 Au.upf
CELL_PARAMETERS angstrom
4.562 0.000 0.000
0.000 4.562 0.000
0.000 0.000 11.405
ATOMIC_POSITIONS crystal
Ac 0.000 0.500 0.232
Ac 0.500 0.000 0.768
Zn 0.000 0.500 0.884
Zn 0.500 0.000 0.116
Zn 0.500 0.500 0.500
Bi 0.000 0.000 0.500
Au 0.000 0.000 0.000
Au 0.000 0.500 0.660
Au 0.500 0.000 0.340
Au 0.500 0.500 0.000
! DFT formation energy	-520	kJ/mol of formula units
! N(E_F)	6.2	states/eV/f.u.

---

Record 7
! LiTlW2 (PBE-GGA, relaxed); values from VASP
&SYSTEM
  ibrav = 0, nat = 4, ntyp = 3
/
ATOMIC_SPECIES
Li 6.94 Li.upf
Tl 204.38 Tl.upf
W 183.84 W.upf
CELL_PARAMETERS angstrom
2.664 -4.681 0.000
2.664 4.681 0.000
0.000 0.000 2.777
ATOMIC_POSITIONS crystal
Li 0.000 0.000 0.000
Tl 0.500 0.500 0.000
W 0.000 0.500 0.500
W 0.500 0.000 0.500
! DFT formation energy	311	kJ/mol of formula units
! N(E_F)	2.5	states/eV/f.u.
! relative energy among the computed polymorphs	0.377	eV per atom

---

Record 8
! TaSbMo (PBE-GGA, relaxed); values from VASP
&SYSTEM
  ibrav = 0, nat = 3, ntyp = 3
/
ATOMIC_SPECIES
Ta 180.95 Ta.upf
Sb 121.76 Sb.upf
Mo 95.94 Mo.upf
CELL_PARAMETERS angstrom
0.000 3.177 3.177
3.177 0.000 3.177
3.177 3.177 0.000
ATOMIC_POSITIONS crystal
Ta 0.000 0.000 0.000
Sb 0.500 0.500 0.500
Mo 0.250 0.250 0.250
! E_form (uncorrected)	0.408	eV per atom
! N(E_F)	4.1	states/eV/f.u.
! relative energy among the computed polymorphs	0.492	eV per atom

---

Record 9
! BeTePb2 (PBE-GGA, relaxed); values from VASP
&SYSTEM
  ibrav = 0, nat = 4, ntyp = 3
/
ATOMIC_SPECIES
Be 9.01 Be.upf
Te 127.60 Te.upf
Pb 207.20 Pb.upf
CELL_PARAMETERS angstrom
3.701 -2.110 0.000
3.701 2.110 0.000
-2.448 0.000 6.924
ATOMIC_POSITIONS crystal
Be 0.000 0.000 0.000
Te 0.500 0.500 0.500
Pb 0.270 0.270 0.806
Pb 0.730 0.730 0.194
! E_form (uncorrected)	0.289	eV per atom
! N(E_F)	1.1	states/eV/f.u.
! relative energy among the computed polymorphs	0.135	eV per atom

---

> What is the N(E_F) in the fifth record?

2.1 states/eV/f.u.